#A
PBE TbPmAsO, optimized geometry; calculated volume = 21.29 A^3/atom; calculated density = 7.7 Mg/m³
1.0
4.3152 0.0000 0.0000
0.0000 4.3152 0.0000
0.0000 0.0000 9.1480
As O Pm Tb
2 2 2 2
direct
0.7500 0.7500 0.2846
0.2500 0.2500 0.7154
0.7500 0.2500 0.0000
0.2500 0.7500 0.0000
0.7500 0.2500 0.5000
0.2500 0.7500 0.5000
0.2500 0.2500 0.0993
0.7500 0.7500 0.9007

=====

#B
PBE TbPmAsO, optimized geometry; calculated volume = 24.16 A^3/atom; calculated density = 6.8 Mg/m³
1.0
-0.7321 1.5219 -3.8267
5.5517 -4.8202 -2.9792
-4.0334 -4.1117 -0.8636
As O Pm Tb
2 2 2 2
direct
0.0000 0.8491 0.4335
0.0000 0.1509 0.9335
0.5000 0.3228 0.3887
0.5000 0.6772 0.8887
0.5000 0.6164 0.4930
0.5000 0.3836 0.9930
0.0000 0.2069 0.4388
0.0000 0.7931 0.9388

=====

Most stable pick: #B. Distance to second place: 100 meV per atom.

=====

#A
PBE TbPmAsO, optimized geometry; calculated volume = 21.82 A^3/atom; calculated density = 7.5 Mg/m³
1.0
4.3956 0.0000 0.0000
0.0000 4.3956 0.0000
0.0000 0.0000 9.0360
As O Pm Tb
2 2 2 2
direct
0.7500 0.7500 0.2984
0.2500 0.2500 0.7016
0.7500 0.2500 0.0000
0.2500 0.7500 0.0000
0.2500 0.2500 0.1066
0.7500 0.7500 0.8934
0.7500 0.2500 0.5000
0.2500 0.7500 0.5000

=====

#B
PBE TbPmAsO, optimized geometry; calculated volume = 21.28 A^3/atom; calculated density = 7.7 Mg/m³
1.0
4.3213 0.0000 0.0000
0.0000 4.3213 0.0000
0.0000 0.0000 9.1153
As O Pm Tb
2 2 2 2
direct
0.0000 0.5000 0.2840
0.5000 0.0000 0.7160
0.0000 0.0000 0.0000
0.5000 0.5000 0.0000
0.0000 0.0000 0.5000
0.5000 0.5000 0.5000
0.5000 0.0000 0.0992
0.0000 0.5000 0.9008

=====

#C
PBE TbPmAsO, optimized geometry; calculated volume = 24.83 A^3/atom; calculated density = 6.6 Mg/m³
1.0
4.2716 0.0000 0.0000
0.0000 7.6592 0.0000
0.0000 0.0000 6.0707
As O Pm Tb
2 2 2 2
direct
0.0000 0.3278 0.4275
0.0000 0.6722 0.9275
0.5000 0.8330 0.3752
0.5000 0.1670 0.8752
0.0000 0.7034 0.4361
0.0000 0.2966 0.9361
0.5000 0.8919 0.0152
0.5000 0.1081 0.5152

=====

Most stable pick: #C. Distance to second place: 70 meV per atom.

=====

#A
PBE PmTeAsO, optimized geometry; calculated volume = 22.77 A^3/atom; calculated density = 6.6 Mg/m³
1.0
2.9199 -2.9199 0.0000
-2.9199 -2.9199 0.0000
0.0000 0.0000 -10.6839
As O Pm Te
2 2 2 2
direct
0.7500 0.7500 0.2714
0.2500 0.2500 0.7286
0.7500 0.2500 0.0000
0.2500 0.7500 0.0000
0.2500 0.2500 0.1037
0.7500 0.7500 0.8963
0.7500 0.2500 0.5000
0.2500 0.7500 0.5000

=====

#B
PBE PmTeAsO, optimized geometry; calculated volume = 23.36 A^3/atom; calculated density = 6.5 Mg/m³
1.0
3.7651 0.0000 0.0000
0.0000 6.2301 0.0000
0.0000 0.0000 7.9678
As O Pm Te
2 2 2 2
direct
0.0000 0.4329 0.3205
0.0000 0.5671 0.8205
0.5000 0.9207 0.3673
0.5000 0.0793 0.8673
0.0000 0.1135 0.0017
0.0000 0.8865 0.5017
0.5000 0.6249 0.0645
0.5000 0.3751 0.5645

=====

#C
PBE PmTeAsO, optimized geometry; calculated volume = 22.37 A^3/atom; calculated density = 6.7 Mg/m³
1.0
-2.0918 2.0445 5.0760
-4.3856 -3.8765 -0.2459
2.9134 -3.4607 2.5945
As O Pm Te
2 2 2 2
direct
0.0000 0.5000 0.4256
0.5000 0.0000 0.5744
0.0000 0.0000 0.0000
0.5000 0.5000 0.0000
0.0000 0.0000 0.5000
0.5000 0.5000 0.5000
0.5000 0.0000 0.0816
0.0000 0.5000 0.9184

=====

Most stable pick: #A. Distance to second place: 21 meV per atom.